Compound: La3IrPb
Source: the Alexandria database
Functional: PBE-GGA
Structure: relaxed

Lattice parameters (Å, degrees): 7.6620 7.6620 7.6620 63.02 63.02 63.02
Sites, in units of the cell vectors:
La 0.3262 0.7463 0.1666
La 0.7463 0.1666 0.3262
La 0.6666 0.2463 0.8262
La 0.8262 0.6666 0.2463
La 0.1666 0.3262 0.7463
La 0.2463 0.8262 0.6666
Ir 0.4964 0.4964 0.4964
Ir 0.9964 0.9964 0.9964
Pb 0.2462 0.2462 0.2462
Pb 0.7462 0.7462 0.7462

Values from the calculation:
The formation enthalpy at 0 K is -3.00 eV/f.u. Its space group is R-3c. For the energy above the most stable polymorph in this dataset, the calculation gives 87 meV per atom.


Compound: Li2Cd2Tc
Source: the Alexandria database
Functional: PBE-GGA
Structure: relaxed

Lattice parameters (Å, degrees): 7.4753 7.4753 2.8318 90.00 90.00 90.00
Each line ends with the local moment (μB).
Sites, in units of the cell vectors:
Tc 0.5000 0.5000 0.0000  0.33
Tc 0.0000 0.0000 0.0000  0.33
Cd 0.3243 0.1757 0.5000  0.00
Cd 0.8243 0.3243 0.5000  0.00
Cd 0.1757 0.6757 0.5000  0.00
Cd 0.6757 0.8243 0.5000  0.00
Li 0.6256 0.1256 0.0000  0.01
Li 0.3744 0.8744 0.0000  0.01
Li 0.1256 0.3744 0.0000  0.01
Li 0.8744 0.6256 0.0000  0.01

Values from the calculation:
The formation enthalpy at 0 K is 1.11 eV/f.u. Its space group is P4/mbm.


Compound: Ni3Ir7Rh
Source: the Alexandria database
Functional: PBE-GGA
Structure: relaxed

Lattice parameters (Å, degrees): 4.8043 6.5655 6.5655 84.60 116.59 116.59
Sites, in units of the cell vectors:
Ir 0.6780 0.4190 0.9403
Ir 0.6780 0.9403 0.4190
Ir 0.3333 0.1904 0.1904
Ir 0.0000 0.5000 0.5000
Ir 0.6667 0.8096 0.8096
Ir 0.3220 0.5810 0.0597
Ir 0.3220 0.0597 0.5810
Ni 0.5000 0.0000 0.0000
Ni 0.0000 0.2192 0.7808
Ni 0.0000 0.7808 0.2192
Rh 0.5000 0.5000 0.5000

Values from the calculation:
The formation enthalpy at 0 K is 5.54 eV/f.u. Its space group is C2/m.


Compound: CaPr2Er
Source: the Alexandria database
Functional: PBE-GGA
Structure: relaxed

Lattice parameters (Å, degrees): 3.6675 3.6675 12.4296 81.52 81.52 60.00
Sites, in units of the cell vectors:
Er 0.6666 0.6666 0.0002
Ca 0.5000 0.5000 0.5001
Pr 0.2554 0.2554 0.2339
Pr 0.0781 0.0781 0.7658

Values from the calculation:
The formation enthalpy at 0 K is 0.14 eV/f.u. Its space group is R3m. For the energy above the most stable polymorph in this dataset, the calculation gives 14 meV per atom.


Compound: GaIrRu
Source: the Alexandria database
Functional: PBE-GGA
Structure: relaxed

Lattice parameters (Å, degrees): 3.8520 6.0284 8.4991 91.14 90.00 90.00
Sites, in units of the cell vectors:
Ir 0.7500 0.2583 0.6806
Ir 0.2500 0.7417 0.3194
Ir 0.7500 0.8520 0.5262
Ir 0.2500 0.1480 0.4738
Ru 0.2500 0.5521 0.5944
Ru 0.7500 0.4479 0.4056
Ru 0.2500 0.9412 0.7576
Ru 0.7500 0.0588 0.2424
Ga 0.2500 0.3492 0.1963
Ga 0.7500 0.1439 0.9538
Ga 0.7500 0.6508 0.8037
Ga 0.2500 0.8561 0.0462

Values from the calculation:
The formation enthalpy at 0 K is -0.11 eV/f.u. Its space group is P2_1/m. For the energy above the most stable polymorph in this dataset, the calculation gives 109 meV per atom.


Compound: TmThBe2Ge2
Source: the Alexandria database
Functional: PBE-GGA
Structure: relaxed

Lattice parameters (Å, degrees): 3.9341 3.9341 8.2600 90.00 90.00 120.00
Sites, in units of the cell vectors:
Tm 0.0000 0.0000 0.5000
Ge 0.6667 0.3333 0.7359
Ge 0.3333 0.6667 0.2641
Be 0.6667 0.3333 0.2581
Be 0.3333 0.6667 0.7419
Th 0.0000 0.0000 0.0000

Values from the calculation:
The formation enthalpy at 0 K is -3.85 eV/f.u. Its space group is P-3m1.


Compound: CrTc3Ir
Source: the Alexandria database
Functional: PBE-GGA
Structure: relaxed

Lattice parameters (Å, degrees): 4.3402 4.3402 4.3402 90.00 90.00 90.00
Sites, in units of the cell vectors:
Cr 0.0000 0.0000 0.0000
Ir 0.5000 0.5000 0.5000
Tc 0.0000 0.5000 0.0000
Tc 0.0000 0.0000 0.5000
Tc 0.5000 0.0000 0.0000

Values from the calculation:
The formation enthalpy at 0 K is 6.33 eV/f.u. Its space group is Pm-3m. For the energy above the most stable polymorph in this dataset, the calculation gives 0 meV per atom.


Compound: Li8Au
Source: the Alexandria database
Functional: PBE-GGA
Structure: relaxed

Lattice parameters (Å, degrees): 6.5502 6.5502 6.5502 95.78 95.78 143.00
Sites, in units of the cell vectors:
Li 0.6549 0.6549 0.3098
Li 0.0000 0.3209 0.3209
Li 0.3451 0.3451 0.6902
Li 0.6791 0.0000 0.6791
Li 0.3209 0.0000 0.3209
Li 0.6549 0.3451 0.0000
Li 0.0000 0.6791 0.6791
Li 0.3451 0.6549 0.0000
Au 0.0000 0.0000 0.0000

Values from the calculation:
The formation enthalpy at 0 K is -1.57 eV/f.u. Its space group is I4/mmm.


Compound: TbNd5Sm7
Source: the Alexandria database
Functional: PBE-GGA
Structure: relaxed

Lattice parameters (Å, degrees): 6.8663 8.8562 8.8562 78.35 67.19 67.19
Sites, in units of the cell vectors:
Nd 0.4487 0.0030 0.5535
Nd 0.9948 0.0030 0.5535
Nd 0.7620 0.7380 0.7380
Nd 0.4487 0.5535 0.0030
Nd 0.9948 0.5535 0.0030
Sm 0.7274 0.2726 0.2726
Sm 0.4834 0.1854 0.8477
Sm 0.4834 0.8477 0.1854
Sm 0.9808 0.6996 0.3387
Sm 0.9808 0.3387 0.6996
Sm 0.2383 0.2617 0.2617
Sm 0.4250 0.5750 0.5750
Tb 0.0317 0.9683 0.9683

Values from the calculation:
The formation enthalpy at 0 K is 3.09 eV/f.u. Its space group is Imm2.


Compound: BaZnTe2
Source: the Alexandria database
Functional: PBE-GGA
Structure: relaxed

Lattice parameters (Å, degrees): 5.0595 5.0567 4.9374 90.00 90.00 90.00
Sites, in units of the cell vectors:
Te 0.0000 0.0000 0.0000
Te 0.5000 0.5000 0.0000
Zn 0.5000 0.0000 0.5000
Ba 0.0000 0.5000 0.5000

Values from the calculation:
The calculation puts the raw formation energy at -229 kJ/mol of formula units. Its space group is P4/mmm.


Compound: Pm2NdHo6Er
Source: the Alexandria database
Functional: PBE-GGA
Structure: relaxed

Lattice parameters (Å, degrees): 9.6530 8.7666 8.7666 117.96 94.33 94.33
Sites, in units of the cell vectors:
Ho 0.4426 0.2577 0.8764
Ho 0.3811 0.5077 0.2942
Ho 0.8143 0.4290 0.9805
Ho 0.1857 0.5710 0.0195
Ho 0.9426 0.8764 0.2577
Ho 0.6857 0.0195 0.5710
Ho 0.1189 0.7058 0.4923
Ho 0.8811 0.2942 0.5077
Ho 0.3143 0.9805 0.4290
Ho 0.6189 0.4923 0.7058
Ho 0.5574 0.7423 0.1236
Ho 0.0574 0.1236 0.7423
Er 0.7500 0.5921 0.4079
Er 0.2500 0.4079 0.5921
Nd 0.7500 0.0194 0.9806
Nd 0.2500 0.9806 0.0194
Pm 0.5437 0.1959 0.2987
Pm 0.0437 0.2987 0.1959
Pm 0.4563 0.8041 0.7013
Pm 0.9563 0.7013 0.8041

Values from the calculation:
The formation enthalpy at 0 K is 1.17 eV/f.u. Its space group is C2/c.


Compound: Ce2BiH
Source: the Alexandria database
Functional: PBE-GGA
Structure: relaxed

Lattice parameters (Å, degrees): 3.8882 7.4392 6.6522 90.00 90.00 105.15
Each line ends with the local moment (μB).
Sites, in units of the cell vectors:
H 0.2201 0.4402 0.2500  -0.01
H 0.7799 0.5598 0.7500  -0.01
Bi 0.9969 0.9938 0.2500  -0.05
Bi 0.0031 0.0062 0.7500  -0.05
Ce 0.6533 0.3067 0.0038  0.96
Ce 0.3467 0.6933 0.9962  0.96
Ce 0.3467 0.6933 0.5038  0.96
Ce 0.6533 0.3067 0.4962  0.96

Values from the calculation:
Its space group is Cmcm. For the energy above the most stable polymorph in this dataset, the calculation gives 230 meV per atom.


Compound: ScGeIr2
Source: the Alexandria database
Functional: PBE-GGA
Structure: relaxed

Lattice parameters (Å, degrees): 4.4577 4.4577 4.4577 60.00 60.00 60.00
Each line ends with the local moment (μB).
Sites, in units of the cell vectors:
Ir 0.7500 0.7500 0.7500  0.45
Ir 0.2500 0.2500 0.2500  0.45
Sc 0.0000 0.0000 0.0000  0.00
Ge 0.5000 0.5000 0.5000  0.04

Values from the calculation:
The formation enthalpy at 0 K is -2.23 eV/f.u. Its space group is Fm-3m.


Compound: ScMnHg2P
Source: the Alexandria database
Functional: PBE-GGA
Structure: relaxed

Lattice parameters (Å, degrees): 5.0789 4.3808 5.0789 90.00 90.00 90.00
Each line ends with the local moment (μB).
Sites, in units of the cell vectors:
Hg 0.0000 0.0000 0.5000  0.03
Hg 0.5000 0.0000 0.0000  0.01
Mn 0.0000 0.5000 0.0000  3.27
Sc 0.5000 0.5000 0.5000  -0.17
P 0.0000 0.0000 0.0000  -0.05

Values from the calculation:
The formation enthalpy at 0 K is 1.73 eV/f.u. Its space group is P4/mmm.


Compound: Nd6Sn2Hg
Source: the Alexandria database
Functional: PBE-GGA
Structure: relaxed

Lattice parameters (Å, degrees): 4.4917 8.5820 8.5819 120.00 90.00 90.00
Each line ends with the local moment (μB).
Sites, in units of the cell vectors:
Nd 0.5000 0.4116 0.4116  0.29
Nd 0.5000 0.5884 0.0000  0.29
Nd 0.5000 0.0000 0.5884  0.29
Nd 0.0000 0.0000 0.2583  0.25
Nd 0.0000 0.7417 0.7417  0.25
Nd 0.0000 0.2583 0.0000  0.25
Hg 0.5000 0.0000 0.0000  0.01
Sn 0.0000 0.6667 0.3333  -0.02
Sn 0.0000 0.3333 0.6667  -0.02

Values from the calculation:
The formation enthalpy at 0 K is -4.27 eV/f.u. Its space group is P-62m.


Compound: LaCrHg2
Source: the Alexandria database
Functional: PBE-GGA
Structure: relaxed

Lattice parameters (Å, degrees): 5.0418 3.6581 5.6754 89.85 90.00 90.00
Each line ends with the local moment (μB).
Sites, in units of the cell vectors:
Hg 0.5000 0.0023 0.2676  -0.02
Hg 0.0000 0.9996 0.9776  -0.01
La 0.0000 0.5004 0.4910  -0.09
Cr 0.5000 0.9977 0.7638  3.73

Values from the calculation:
The formation enthalpy at 0 K is 0.28 eV/f.u. Its space group is Pm.


Compound: CaFeAs3
Source: the Alexandria database
Functional: PBE-GGA
Structure: relaxed

Lattice parameters (Å, degrees): 5.2416 5.2416 5.2416 90.00 90.00 90.00
Each line ends with the local moment (μB).
Sites, in units of the cell vectors:
Ca 0.0000 0.0000 0.0000  0.00
As 0.0000 0.0000 0.5000  0.01
As 0.0000 0.5000 0.0000  0.03
As 0.5000 0.0000 0.0000  0.03
Fe 0.5000 0.5000 0.5000  0.14

Values from the calculation:
The formation enthalpy at 0 K is 7.84 eV/f.u. Its space group is Pm-3m. For the energy above the most stable polymorph in this dataset, the calculation gives 1646 meV per atom.


Compound: YHfN2O
Source: the Alexandria database
Functional: PBE-GGA
Structure: relaxed

Lattice parameters (Å, degrees): 4.1442 4.1442 4.0594 90.00 90.00 90.00
Sites, in units of the cell vectors:
O 0.0000 0.0000 0.5000
N 0.0000 0.5000 0.0000
N 0.5000 0.0000 0.0000
Hf 0.0000 0.0000 0.0000
Y 0.5000 0.5000 0.5000

Values from the calculation:
The calculation puts the raw formation energy at -749 kJ/mol of formula units. Its space group is P4/mmm.


Compound: BaTl2In
Source: the Alexandria database
Functional: PBE-GGA
Structure: relaxed

Lattice parameters (Å, degrees): 5.4438 4.0297 6.3134 90.51 90.00 90.00
Sites, in units of the cell vectors:
In 0.5000 0.8736 0.7459
Ba 0.0000 0.3700 0.5468
Tl 0.5000 0.3823 0.1622
Tl 0.0000 0.8741 0.0451

Values from the calculation:
The formation enthalpy at 0 K is -0.87 eV/f.u. Its space group is Pm.


Compound: CsNaNiH6
Source: the Alexandria database
Functional: PBE-GGA
Structure: relaxed

Lattice parameters (Å, degrees): 5.3172 5.3171 5.8396 90.02 89.98 59.95
Each line ends with the local moment (μB).
Sites, in units of the cell vectors:
H 0.3352 0.1058 0.6552  0.00
H 0.1049 0.5597 0.6546  0.00
H 0.5594 0.1047 0.3452  0.00
H 0.3365 0.5584 0.3446  0.00
H 0.5586 0.3359 0.6553  0.00
H 0.1056 0.3358 0.3446  0.00
Cs 0.9999 0.9998 0.0002  0.00
Ni 0.3333 0.3334 0.4999  -0.15
Na 0.6665 0.6665 0.5002  0.00

Values from the calculation:
Its space group is C2. The value obtained for the calculated total energy is -29.36 eV per cell.


Compound: Sr2VTcN5
Source: the Alexandria database
Functional: PBE-GGA
Structure: relaxed

Lattice parameters (Å, degrees): 3.2960 7.5942 10.4499 90.00 90.00 102.53
Sites, in units of the cell vectors:
Tc 0.2198 0.4396 0.0244
Tc 0.7802 0.5604 0.5244
V 0.4389 0.8779 0.4504
V 0.5611 0.1221 0.9504
N 0.9568 0.9135 0.5334
N 0.2938 0.5876 0.6260
N 0.4969 0.9938 0.3084
N 0.6633 0.3266 0.5002
N 0.0432 0.0865 0.0334
N 0.3197 0.6393 0.3880
N 0.6803 0.3607 0.8880
N 0.3367 0.6734 0.0002
N 0.5031 0.0062 0.8084
N 0.7062 0.4124 0.1260
Sr 0.8878 0.7756 0.1880
Sr 0.1249 0.2499 0.3052
Sr 0.8751 0.7501 0.8052
Sr 0.1122 0.2244 0.6880

Values from the calculation:
The calculation puts the raw formation energy at -529 kJ/mol of formula units. Its space group is Cmc2_1.


Compound: CaAg3Ge2
Source: the Alexandria database
Functional: PBE-GGA
Structure: relaxed

Lattice parameters (Å, degrees): 4.4437 8.2806 8.2804 57.95 74.44 74.44
Sites, in units of the cell vectors:
Ca 0.1353 0.8649 0.8645
Ca 0.8647 0.1351 0.1355
Ag 0.0002 0.6708 0.3287
Ag 0.6746 0.1240 0.5268
Ag 0.9998 0.3292 0.6713
Ag 0.6748 0.5269 0.1236
Ag 0.3252 0.4731 0.8764
Ag 0.3254 0.8760 0.4732
Ge 0.5000 0.8449 0.1551
Ge 0.1839 0.3161 0.3161
Ge 0.5000 0.1551 0.8449
Ge 0.8161 0.6839 0.6839

Values from the calculation:
The formation enthalpy at 0 K is -0.97 eV/f.u. Its space group is Immm.


Compound: Er4PbN
Source: the Alexandria database
Functional: PBE-GGA
Structure: relaxed

Lattice parameters (Å, degrees): 4.8945 8.6880 9.1015 90.00 90.00 124.25
Sites, in units of the cell vectors:
Er 0.4609 0.2108 0.2500
Er 0.3221 0.0723 0.7500
Er 0.9784 0.7283 0.4453
Er 0.9784 0.7283 0.0547
Er 0.0216 0.2717 0.9453
Er 0.6779 0.9277 0.2500
Er 0.0216 0.2717 0.5547
Er 0.5391 0.7892 0.7500
N 0.1559 0.9061 0.2500
N 0.8441 0.0939 0.7500
Pb 0.7541 0.5040 0.7500
Pb 0.2459 0.4960 0.2500

Values from the calculation:
The calculation puts the raw formation energy at -346 kJ/mol of formula units. Its space group is Pmmn. For the energy above the most stable polymorph in this dataset, the calculation gives 88 meV per atom.